No. 1
# NiMo4Rh4

A relaxed NiMo4Rh4 crystal (PBE, the Alexandria database).

Unit cell a=6.191 b=6.191 c=6.191 alpha=95.34 beta=95.34 gamma=144.48
Sites, in units of the cell vectors:
Ni1 0.000 0.000 0.000
Mo1 0.000 0.328 0.328
Mo2 0.000 0.672 0.672
Mo3 0.328 0.000 0.328
Mo4 0.672 0.000 0.672
Rh1 0.335 0.335 0.669
Rh2 0.335 0.665 0.000
Rh3 0.665 0.335 0.000
Rh4 0.665 0.665 0.331

Calculated values
* spin magnetization: 0.00 μB per atom
* E_form: -0.0583 eV per atom

***

No. 2
# Ni6MoRh

A relaxed Ni6MoRh crystal (PBE, the Alexandria database).

Unit cell a=6.270 b=6.270 c=10.284 alpha=90.00 beta=90.00 gamma=109.51
Sites, in units of the cell vectors:
Ni1 0.000 0.000 0.000
Ni2 0.000 0.000 0.500
Ni3 0.122 0.371 0.373
Ni4 0.122 0.371 0.627
Ni5 0.123 0.374 0.123
Ni6 0.123 0.374 0.877
Ni7 0.248 0.752 0.246
Ni8 0.248 0.752 0.754
Ni9 0.371 0.122 0.373
Ni10 0.371 0.122 0.627
Ni11 0.374 0.123 0.123
Ni12 0.374 0.123 0.877
Ni13 0.500 0.500 0.000
Ni14 0.500 0.500 0.500
Ni15 0.626 0.877 0.123
Ni16 0.626 0.877 0.877
Ni17 0.629 0.878 0.373
Ni18 0.629 0.878 0.627
Ni19 0.752 0.248 0.246
Ni20 0.752 0.248 0.754
Ni21 0.877 0.626 0.123
Ni22 0.877 0.626 0.877
Ni23 0.878 0.629 0.373
Ni24 0.878 0.629 0.627
Mo1 0.000 0.000 0.256
Mo2 0.000 0.000 0.744
Mo3 0.247 0.753 0.000
Mo4 0.753 0.247 0.000
Rh1 0.249 0.751 0.500
Rh2 0.500 0.500 0.254
Rh3 0.500 0.500 0.746
Rh4 0.751 0.249 0.500

Calculated values
* spin magnetization: 0.07 μB per atom
* E_form: 0.0184 eV per atom

***

No. 3
# Ni7MoRh4

A relaxed Ni7MoRh4 crystal (PBE, the Alexandria database).

Unit cell a=4.941 b=4.941 c=8.923 alpha=111.08 beta=111.08 gamma=52.75
Sites, in units of the cell vectors:
Ni1 0.000 0.000 0.000
Ni2 0.151 0.151 0.617
Ni3 0.216 0.216 0.914
Ni4 0.371 0.371 0.523
Ni5 0.629 0.629 0.477
Ni6 0.784 0.784 0.086
Ni7 0.849 0.849 0.383
Mo1 0.500 0.500 0.000
Rh1 0.093 0.093 0.299
Rh2 0.371 0.371 0.232
Rh3 0.629 0.629 0.768
Rh4 0.907 0.907 0.701

Calculated values
* spin magnetization: 0.30 μB per atom
* E_form: 0.3317 eV per atom

***

No. 4
# NiMoRh2

A relaxed NiMoRh2 crystal (PBE, the Alexandria database).

Unit cell a=8.784 b=8.784 c=8.784 alpha=17.93 beta=17.93 gamma=17.93
Sites, in units of the cell vectors:
Ni1 0.000 0.000 0.000
Mo1 0.500 0.500 0.500
Rh1 0.251 0.251 0.251
Rh2 0.749 0.749 0.749

Calculated values
* spin magnetization: 0.18 μB per atom
* E_form: -0.0133 eV per atom

***

No. 5
# Ni3MoRh2

A relaxed Ni3MoRh2 crystal (PBE, the Alexandria database).

Unit cell a=8.301 b=7.652 c=4.893 alpha=79.55 beta=65.03 gamma=35.43
Sites, in units of the cell vectors:
Ni1 0.163 0.163 0.837
Ni2 0.165 0.671 0.329
Ni3 0.329 0.835 0.165
Ni4 0.671 0.165 0.835
Ni5 0.835 0.329 0.671
Ni6 0.837 0.837 0.163
Mo1 0.332 0.332 0.668
Mo2 0.668 0.668 0.332
Rh1 0.250 0.250 0.250
Rh2 0.250 0.750 0.750
Rh3 0.750 0.250 0.250
Rh4 0.750 0.750 0.750

Calculated values
* spin magnetization: 0.00 μB per atom
* E_form: 0.0213 eV per atom

***

No. 6
# NiMoRh2

A relaxed NiMoRh2 crystal (PBE, the Alexandria database).

Unit cell a=2.730 b=3.730 c=5.429 alpha=90.00 beta=90.00 gamma=90.00
Sites, in units of the cell vectors:
Ni1 0.000 0.000 0.000
Mo1 0.000 0.000 0.500
Rh1 0.500 0.500 0.241
Rh2 0.500 0.500 0.759

Calculated values
* spin magnetization: 0.00 μB per atom
* E_form: -0.1240 eV per atom